No. 1
First-principles (GGA-PBE) data for Na4AgPdPb2 after structural relaxation, as listed in OQMD via LeMat-Bulk.

Volume (Å³/cell): 178.2
Space group: P-4m2
Uncorrected energy (eV for the cell shown): -21.8

POSCAR file:
```
Na4AgPdPb2
1.0
5.0048 0.0000 0.0000
0.0000 5.0048 0.0000
0.0000 0.0000 7.1124
Na Ag Pd Pb
4 1 1 2
Cartesian
0.0000 0.0000 0.0000 Na
0.0000 2.5024 1.7375 Na
2.5024 0.0000 5.3749 Na
2.5024 2.5024 3.5562 Na
0.0000 0.0000 3.5562 Ag
2.5024 2.5024 0.0000 Pd
0.0000 2.5024 5.4187 Pb
2.5024 0.0000 1.6937 Pb
```

No. 2
First-principles (GGA-PBE) data for Tl2NiGe after structural relaxation, as listed in OQMD via LeMat-Bulk.

Volume (Å³/cell): 86.4
Space group: F-43m
Uncorrected energy (eV for the cell shown): -13.0

POSCAR file:
```
Tl2NiGe
1.0
0.0000 3.5093 3.5093
3.5093 0.0000 3.5093
3.5093 3.5093 0.0000
Tl Ni Ge
2 1 1
Cartesian
0.0000 0.0000 0.0000 Tl
1.7547 1.7547 1.7547 Tl
5.2640 5.2640 5.2640 Ni
3.5093 3.5093 3.5093 Ge
```

No. 3
First-principles (GGA-PBE) data for K2ThS3 after structural relaxation, as listed in OQMD via LeMat-Bulk.

Volume (Å³/cell): 220.7
Space group: Cmmm
Uncorrected energy (eV for the cell shown): -31.2

POSCAR file:
```
K2ThS3
1.0
2.1321 -8.9128 0.0000
2.1321 8.9128 0.0000
0.0000 0.0000 5.8073
K Th S
2 1 3
Cartesian
2.1321 6.5905 0.0000 K
2.1321 -6.5905 0.0000 K
2.1321 0.0000 2.9036 Th
2.1321 7.0885 2.9036 S
2.1321 0.0000 0.0000 S
2.1321 -7.0885 2.9036 S
```